Entry 1:
Crystalline Ca2SiGe2 at its relaxed geometry. Source: Alexandria, functional PBE-GGA.

Lattice parameters (Å, degrees): 7.0522 7.0522 4.5084 90.00 90.00 90.00
With the nearest neighbours (Å) after each atom.
Atoms (fractional coordinates):
Ca 0.1754 0.3246 0.0000  6 Ge 2.98-3.13
Ca 0.3246 0.8246 0.0000  6 Ge 2.98-3.13
Ca 0.6754 0.1754 0.0000  6 Ge 2.98-3.13
Ca 0.8246 0.6754 0.0000  6 Ge 2.98-3.13
Si 0.0000 0.0000 0.5000  4 Ge 2.77
Si 0.5000 0.5000 0.5000  4 Ge 2.77
Ge 0.1291 0.6291 0.5000  1 Ge 2.57, 2 Si 2.77
Ge 0.3709 0.1291 0.5000  1 Ge 2.57, 2 Si 2.77
Ge 0.6291 0.8709 0.5000  1 Ge 2.57, 2 Si 2.77
Ge 0.8709 0.3709 0.5000  1 Ge 2.57, 2 Si 2.77

ΔE_f (raw)	-0.4133	eV/atom
density	3.8	g cm⁻³
total moment	0.000	μB/f.u.
N(E_F)	0.3929	states/eV/atom
relative energy among the computed polymorphs	0.051	eV per atom

Entry 2:
Crystalline Ba2TiSe at its relaxed geometry. Source: Alexandria, functional PBE-GGA.

Lattice parameters (Å, degrees): 7.6296 7.6296 7.6296 105.56 105.56 117.61
With the nearest neighbours (Å) after each atom.
Atoms (fractional coordinates):
Ba 0.0790 0.1250 0.4540  2 Se 3.14
Ba 0.3750 0.9210 0.0460  2 Se 3.14
Ba 0.6710 0.6250 0.5460  2 Se 3.14
Ba 0.8750 0.3290 0.9540  2 Se 3.14
Ti 0.2500 0.7500 0.5000  4 Ba 3.71, 2 Se 3.95
Ti 0.5000 0.5000 0.0000  4 Ba 3.71, 2 Se 3.95
Se 0.0000 0.0000 0.0000  4 Ba 3.14
Se 0.7500 0.2500 0.5000  4 Ba 3.14

ΔE_f (raw)	-0.0716	eV/atom
density	4.0	g cm⁻³
total moment	3.931	μB/f.u.
N(E_F)	0.5634	states/eV/atom